CeMnSbO6: optimized geometry, PBE+U.

abc: 5.243 5.243 9.918
angles: 90.00 90.00 120.00
Element x y z (fractional)
Ce  0.000  0.000  0.000
Ce  0.000  0.000  0.500
Mn  0.333  0.667  0.250
Mn  0.667  0.333  0.750
Sb  0.333  0.667  0.750
Sb  0.667  0.333  0.250
O  0.003  0.358  0.638
O  0.003  0.645  0.862
O  0.355  0.358  0.862
O  0.355  0.997  0.638
O  0.358  0.003  0.138
O  0.358  0.355  0.362
O  0.642  0.645  0.638
O  0.642  0.997  0.862
O  0.645  0.003  0.362
O  0.645  0.642  0.138
O  0.997  0.355  0.138
O  0.997  0.642  0.362

total magnetic moment: 8.0 μB/cell
DOS at the Fermi energy: 10.4 states/eV per cell
raw total energy: -7.34 eV/atom